1.
DFT (PBE) results for CsTa3B after structural relaxation.

Cell lengths 5.002, 5.002, 5.002 Å; angles 90.00, 90.00, 90.00 degrees
Positions (direct):
Cs 0.000 0.000 0.000
B 0.500 0.500 0.500
Ta 0.000 0.500 0.000
Ta 0.000 0.000 0.500
Ta 0.500 0.000 0.000

Properties
The energy relative to the elements comes out at 4.07 eV/atom. The crystal system is cubic. The energy above the most stable polymorph in this dataset comes out at 2741 meV per atom.



2.
DFT (PBE) results for AlSeCl2 after structural relaxation.

Cell lengths 7.142, 7.142, 7.142 Å; angles 152.17, 134.54, 54.14 degrees
Positions (direct):
Al 0.231 0.731 0.500
Se 0.359 0.359 0.000
Cl 0.100 0.100 0.000
Cl 0.809 0.309 0.500

Properties
The formation energy without anion corrections is -58.9 kJ per mole of atoms. The crystal system is orthorhombic. The energy above the most stable polymorph in this dataset comes out at 298 meV per atom.



3.
DFT (PBE) results for CrCuNi2 after structural relaxation.

Cell lengths 4.446, 4.446, 4.446 Å; angles 132.94, 133.04, 68.67 degrees
Positions (direct):
Cr 0.500 0.500 0.000
Cu 0.250 0.750 0.500
Ni 0.000 0.000 0.000
Ni 0.750 0.250 0.500

Properties
The energy relative to the elements comes out at 0.09 eV/atom. The crystal system is tetragonal.



4.
DFT (PBE) results for CsBaTl2Cl8 after structural relaxation.

Cell lengths 7.139, 7.139, 10.724 Å; angles 90.00, 90.00, 120.00 degrees
Positions (direct):
Cs 0.000 0.000 0.000
Ba 0.000 0.000 0.500
Tl 0.667 0.333 0.232
Tl 0.333 0.667 0.768
Cl 0.333 0.667 0.003
Cl 0.318 0.329 0.308
Cl 0.671 0.989 0.308
Cl 0.667 0.333 0.997
Cl 0.329 0.011 0.692
Cl 0.682 0.671 0.692
Cl 0.989 0.318 0.692
Cl 0.011 0.682 0.308

Properties
The formation energy without anion corrections is -125.2 kJ per mole of atoms. The crystal system is trigonal.



5.
DFT (PBE) results for Cr2SbAu after structural relaxation.

Cell lengths 4.935, 4.935, 4.893 Å; angles 79.80, 79.80, 38.05 degrees
Positions (direct):
Au 0.260 0.260 0.222
Cr 0.008 0.008 0.991
Cr 0.739 0.739 0.773
Sb 0.494 0.494 0.514

Properties
The formation energy without anion corrections is 24.0 kJ per mole of atoms. The crystal system is monoclinic.



Ρ / g cm⁻³: 9.11; 2.44; 8.38; 3.38; 9.73
DOS at the Fermi energy / states/eV/cell: 6.36; 0.59; 5.10; 7.55; 2.23
Electronic total energy / eV/atom: -4.546; -3.340; -6.230; -3.155; -6.413